Record 1
The following is a DFT calculation (PBE) of crystalline Na2RuIO6 at its relaxed geometry.

## Properties
Volume   144.0 Å³/cell
Formation energy from raw total energies   -0.86 eV/atom
Crystal system   tetragonal
Total DFT energy (no corrections)   -5.19 eV/atom

Structure (CIF):
```
data_Na2RuIO6
_cell_length_a 5.583
_cell_length_b 5.583
_cell_length_c 4.619
_cell_angle_alpha 90.00
_cell_angle_beta 90.00
_cell_angle_gamma 90.00
_symmetry_space_group_name_H-M 'P 4 m m'
_symmetry_Int_Tables_number 99
_symmetry_space_group_name_Hall 'P 4 -2'
loop_
_atom_site_label
_atom_site_fract_x
_atom_site_fract_y
_atom_site_fract_z
_atom_site_occupancy
Na1 0.000 0.500 0.000 1
Ru1 0.000 0.000 0.567 1
I1 0.500 0.500 0.597 1
O1 0.000 0.000 0.177 1
O2 0.243 0.243 0.663 1
O3 0.500 0.500 0.200 1
```



Record 2
The following is a DFT calculation (PBE) of crystalline CdOsBrCl at its relaxed geometry.

## Properties
Volume   268.7 Å³/cell
Formation energy from raw total energies   0.18 eV/atom
Crystal system   trigonal
Energy above the most stable polymorph in this dataset   0.17 eV per formula unit
Total DFT energy (no corrections)   -3.74 eV/atom

Structure (CIF):
```
data_CdOsBrCl
_cell_length_a 3.5599
_cell_length_b 3.5599
_cell_length_c 24.4786
_cell_angle_alpha 90.00
_cell_angle_beta 90.00
_cell_angle_gamma 120.00
_symmetry_space_group_name_H-M 'R 3 m'
_symmetry_Int_Tables_number 160
_symmetry_space_group_name_Hall 'R 3 -2"'
loop_
_atom_site_label
_atom_site_fract_x
_atom_site_fract_y
_atom_site_fract_z
_atom_site_occupancy
Cd1 0.0000 0.0000 0.0000 1
Os1 0.0000 0.0000 0.5812 1
Br1 0.0000 0.0000 0.1961 1
Cl1 0.0000 0.0000 0.7393 1
```



Record 3
The following is a DFT calculation (PBE) of crystalline Sc8C3Se3O at its relaxed geometry.

## Properties
Volume   752.7 Å³/cell
Formation energy from raw total energies   -1.32 eV/atom
Crystal system   trigonal
Total DFT energy (no corrections)   -7.57 eV/atom

Structure (CIF):
```
data_Sc8C3Se3O
_cell_length_a 6.9052
_cell_length_b 6.9052
_cell_length_c 18.2259
_cell_angle_alpha 90.00
_cell_angle_beta 90.00
_cell_angle_gamma 120.00
_symmetry_space_group_name_H-M 'R -3 m'
_symmetry_Int_Tables_number 166
_symmetry_space_group_name_Hall '-R 3 2"'
loop_
_atom_site_label
_atom_site_fract_x
_atom_site_fract_y
_atom_site_fract_z
_atom_site_occupancy
Sc1 0.0000 0.0000 0.2324 1
Sc2 0.0100 0.5050 0.7665 1
C1 0.0000 0.5000 0.5000 1
Se1 0.0000 0.5000 0.0000 1
O1 0.0000 0.0000 0.5000 1
```



Record 4
The following is a DFT calculation (PBE) of crystalline Ba2Zn3CdSn4 at its relaxed geometry.

## Properties
DFT formation energy   -0.41 eV/atom
Volume   271.9 Å³/cell
Crystal system   tetragonal
Total DFT energy (no corrections)   -2.87 eV/atom

Structure (CIF):
```
data_Ba2Zn3CdSn4
_cell_length_a 4.830
_cell_length_b 4.830
_cell_length_c 11.657
_cell_angle_alpha 90.00
_cell_angle_beta 90.00
_cell_angle_gamma 90.00
_symmetry_space_group_name_H-M 'P -4 m 2'
_symmetry_Int_Tables_number 115
_symmetry_space_group_name_Hall 'P -4 -2'
loop_
_atom_site_label
_atom_site_fract_x
_atom_site_fract_y
_atom_site_fract_z
_atom_site_occupancy
Ba1 0.000 0.500 0.248 1
Zn1 0.000 0.000 0.000 1
Zn2 0.000 0.500 0.631 1
Cd1 0.500 0.500 0.000 1
Sn1 0.000 0.000 0.500 1
Sn2 0.000 0.500 0.863 1
Sn3 0.500 0.500 0.500 1
```



Record 5
The following is a DFT calculation (PBE) of crystalline Ac2DyRuO8 at its relaxed geometry.

## Properties
Volume   181.6 Å³/cell
Formation energy from raw total energies   -2.27 eV/atom
Crystal system   monoclinic
Total DFT energy (no corrections)   -7.41 eV/atom

Structure (CIF):
```
data_Ac2DyRuO8
_cell_length_a 4.558
_cell_length_b 7.223
_cell_length_c 5.559
_cell_angle_alpha 90.00
_cell_angle_beta 97.03
_cell_angle_gamma 90.00
_symmetry_space_group_name_H-M 'P 1 2/m 1'
_symmetry_Int_Tables_number 10
_symmetry_space_group_name_Hall '-P 2y'
loop_
_atom_site_label
_atom_site_fract_x
_atom_site_fract_y
_atom_site_fract_z
_atom_site_occupancy
Ac1 0.000 0.242 0.000 1
Dy1 0.500 0.500 0.500 1
Ru1 0.500 0.000 0.500 1
O1 0.083 0.500 0.254 1
O2 0.123 0.000 0.343 1
O3 0.426 0.210 0.722 1
```



Record 6
The following is a DFT calculation (PBE) of crystalline Tl2In3F10 at its relaxed geometry.

## Properties
Volume   1106.9 Å³/cell
Formation energy from raw total energies   -2.28 eV/atom
Crystal system   monoclinic
Total DFT energy (no corrections)   -4.40 eV/atom

Structure (CIF):
```
data_Tl2In3F10
_cell_length_a 20.424
_cell_length_b 6.279
_cell_length_c 9.413
_cell_angle_alpha 90.00
_cell_angle_beta 113.51
_cell_angle_gamma 90.00
_symmetry_space_group_name_H-M 'C 1 2/m 1'
_symmetry_Int_Tables_number 12
_symmetry_space_group_name_Hall '-C 2y'
loop_
_atom_site_label
_atom_site_fract_x
_atom_site_fract_y
_atom_site_fract_z
_atom_site_occupancy
Tl1 0.131 0.000 0.217 1
Tl2 0.196 0.000 0.831 1
In1 0.000 0.279 0.500 1
In2 0.083 0.500 0.991 1
In3 0.177 0.500 0.497 1
F1 0.000 0.290 0.000 1
F2 0.035 0.000 0.650 1
F3 0.039 0.500 0.752 1
F4 0.107 0.249 0.490 1
F5 0.134 0.500 0.249 1
F6 0.153 0.255 0.009 1
F7 0.226 0.500 0.734 1
F8 0.250 0.250 0.500 1
```



Record 7
The following is a DFT calculation (PBE) of crystalline NaSe2S6 at its relaxed geometry.

## Properties
Volume   261.6 Å³/cell
Formation energy from raw total energies   -0.02 eV/atom
Crystal system   triclinic
Total DFT energy (no corrections)   -3.69 eV/atom

Structure (CIF):
```
data_NaSe2S6
_cell_length_a 6.027
_cell_length_b 6.048
_cell_length_c 7.491
_cell_angle_alpha 99.96
_cell_angle_beta 98.77
_cell_angle_gamma 98.43
_symmetry_space_group_name_H-M 'P 1'
_symmetry_Int_Tables_number 1
_symmetry_space_group_name_Hall 'P 1'
loop_
_atom_site_label
_atom_site_fract_x
_atom_site_fract_y
_atom_site_fract_z
_atom_site_occupancy
Na1 0.000 0.000 0.000 1
Se1 0.173 0.103 0.617 1
Se2 0.444 0.486 0.155 1
S1 0.141 0.727 0.484 1
S2 0.302 0.679 0.947 1
S3 0.464 0.696 0.450 1
S4 0.513 0.962 0.917 1
S5 0.634 0.213 0.447 1
S6 0.941 0.203 0.385 1
```



Record 8
The following is a DFT calculation (PBE) of crystalline BeMo2W at its relaxed geometry.

## Properties
DFT formation energy   0.13 eV/atom
Volume   57.5 Å³/cell
Crystal system   tetragonal
Total DFT energy (no corrections)   -9.46 eV/atom

Structure (CIF):
```
data_BeMo2W
_cell_length_a 3.201
_cell_length_b 3.201
_cell_length_c 5.614
_cell_angle_alpha 90.00
_cell_angle_beta 90.00
_cell_angle_gamma 90.00
_symmetry_space_group_name_H-M 'P 4 m m'
_symmetry_Int_Tables_number 99
_symmetry_space_group_name_Hall 'P 4 -2'
loop_
_atom_site_label
_atom_site_fract_x
_atom_site_fract_y
_atom_site_fract_z
_atom_site_occupancy
Be1 0.000 0.000 0.000 1
Mo1 0.000 0.000 0.502 1
Mo2 0.500 0.500 0.226 1
W1 0.500 0.500 0.776 1
```



For each record above, in turn, the calculated total magnetization values are 0.27 0.00 0.00 0.00 0.08 0.00 0.00 0.00 μB/atom.